First-principles (GGA-PBE) data for a geometry-optimized ScTlAs2 structure, as listed in Alexandria.

a b c (Å): 4.8603 4.8603 3.7284
angles (deg): 90.05 90.05 100.77
Last column: nearest neighbours and their distance in Å.
Fractional positions:
1 Sc 0.5000 0.0000 0.5000  8 As 3.06, 2 Tl 3.10
2 Tl 0.0000 0.5000 0.5000  8 As 3.06, 2 Sc 3.10
3 As 0.5000 0.5000 0.0000  4 Sc 3.06, 4 Tl 3.06, 2 As 3.10
4 As 0.0000 0.0000 0.0000  4 Tl 3.06, 4 Sc 3.06, 2 As 3.10

Summary:
- SG: Cmmm
- Distance to the lowest polymorph of the same formula: 233 meV per atom
- Mass density: 7.66 g/cm³



First-principles (GGA-PBE) data for a geometry-optimized Na2Er2UTe6 structure, as listed in Alexandria.

a b c (Å): 7.5761 7.5761 8.0380
angles (deg): 99.08 99.08 119.85
Last column: nearest neighbours and their distance in Å.
Fractional positions:
1 U 0.0000 0.0000 0.5000  6 Te 3.07
2 Te 0.0789 0.4105 0.7303  1 U 3.07, 2 Er 3.07-3.08, 2 Na 3.26-3.27
3 Te 0.7422 0.7422 0.7279  1 U 3.07, 2 Er 3.07, 2 Na 3.27
4 Te 0.4105 0.0789 0.7303  1 U 3.07, 2 Er 3.07-3.08, 2 Na 3.26-3.27
5 Te 0.2578 0.2578 0.2721  1 U 3.07, 2 Er 3.07, 2 Na 3.27
6 Te 0.5895 0.9211 0.2697  1 U 3.07, 2 Er 3.07-3.08, 2 Na 3.26-3.27
7 Te 0.9211 0.5895 0.2697  1 U 3.07, 2 Er 3.07-3.08, 2 Na 3.26-3.27
8 Na 0.1667 0.8333 0.0000  6 Te 3.26-3.27
9 Na 0.8333 0.1667 0.0000  6 Te 3.26-3.27
10 Er 0.6677 0.3323 0.5000  6 Te 3.07-3.08
11 Er 0.3323 0.6677 0.5000  6 Te 3.07-3.08

Summary:
- SG: C2/m
- Mass density: 6.05 g/cm³
- Raw formation energy: -106.0 kJ/mol of atoms



First-principles (GGA-PBE) data for a geometry-optimized TbMg8Sc2 structure, as listed in Alexandria.

a b c (Å): 5.0995 7.7760 7.9317
angles (deg): 116.49 108.75 90.00
Last column: nearest neighbours and their distance in Å.
Fractional positions:
1 Tb 0.5000 0.0000 0.0000  12 Mg 3.19-3.54
2 Sc 0.2278 0.6255 0.4557  8 Mg 3.06-3.28
3 Sc 0.7722 0.3745 0.5443  8 Mg 3.06-3.28
4 Mg 0.0391 0.7261 0.0782  7 Mg 3.11-3.23, 1 Sc 3.28
5 Mg 0.6859 0.9079 0.3718  6 Mg 2.99-3.23, 1 Tb 3.19, 1 Sc 3.23
6 Mg 0.4066 0.5311 0.8132  4 Mg 3.02-3.15, 3 Sc 3.10-3.12, 1 Tb 3.23
7 Mg 0.1409 0.1816 0.2817  3 Mg 2.99-3.13, 3 Sc 3.06-3.14, 2 Tb 3.19
8 Mg 0.9609 0.2739 0.9218  7 Mg 3.11-3.23, 1 Sc 3.28
9 Mg 0.3141 0.0921 0.6282  6 Mg 2.99-3.23, 1 Tb 3.19, 1 Sc 3.23
10 Mg 0.5934 0.4689 0.1868  4 Mg 3.02-3.15, 3 Sc 3.10-3.12, 1 Tb 3.23
11 Mg 0.8591 0.8184 0.7183  3 Mg 2.99-3.13, 3 Sc 3.06-3.14, 2 Tb 3.19

Summary:
- SG: C2/m
- Total DFT energy (no corrections): -30.167 eV/cell
- Mass density: 2.80 g/cm³